[1]
Computed, not measured: a relaxed structure of NaGaSe3 at the PBE level of DFT.

Results
- V: 26.26 A^3/atom
- M_tot: 0.00 μB/f.u.
- E_form (uncorrected): -0.8 eV per formula unit
- E above lowest polymorph: 0 meV per atom
- Symmetry: No. 221

Geometry as POSCAR:
```
NaGaSe3
1.0
-1.539 -4.581 1.575
0.350 -1.754 -4.757
4.831 -1.332 0.847
Na Ga Se
1 1 3
Cartesian
1.821 -3.833 -1.168 Na
0.000 0.000 0.000 Ga
0.175 -0.877 -2.379 Se
2.416 -0.666 0.423 Se
-0.769 -2.290 0.788 Se
```

[2]
Computed, not measured: a relaxed structure of NaGa3Se at the PBE level of DFT.

Results
- V: 28.75 A^3/atom
- M_tot: 0.00 μB/f.u.
- E_form (uncorrected): 2.8 eV per formula unit
- E above lowest polymorph: 292 meV per atom
- Symmetry: No. 221

Geometry as POSCAR:
```
NaGa3Se
1.0
5.238 0.000 0.000
0.000 5.238 0.000
0.000 0.000 5.238
Na Ga Se
1 3 1
Cartesian
0.000 0.000 0.000 Na
0.000 2.619 0.000 Ga
0.000 0.000 2.619 Ga
2.619 0.000 0.000 Ga
2.619 2.619 2.619 Se
```

[3]
Computed, not measured: a relaxed structure of NaGa2Se2 at the PBE level of DFT.

Results
- V: 26.11 A^3/atom
- M_tot: 0.00 μB/f.u.
- E_form (uncorrected): -2.2 eV per formula unit
- E above lowest polymorph: 66 meV per atom
- Symmetry: No. 127

Geometry as POSCAR:
```
NaGa2Se2
1.0
-2.779 -0.801 7.742
2.695 -7.810 0.159
3.378 1.193 1.336
Na Ga Se
2 4 4
Cartesian
0.000 0.000 0.000 Na
-0.042 -4.306 3.950 Na
3.028 -4.215 1.579 Ga
2.419 -6.877 5.496 Ga
0.267 -3.203 7.657 Ga
0.876 -0.542 3.741 Ga
1.328 -5.970 1.974 Se
-0.007 -6.530 5.848 Se
-1.411 -2.641 5.926 Se
-0.077 -2.081 2.052 Se
```

[4]
Computed, not measured: a relaxed structure of NaGa2Se2 at the PBE level of DFT.

Results
- V: 23.06 A^3/atom
- M_tot: 0.00 μB/f.u.
- E_form (uncorrected): -2.6 eV per formula unit
- E above lowest polymorph: 0 meV per atom
- Symmetry: No. 139

Geometry as POSCAR:
```
NaGa2Se2
1.0
5.140 0.000 0.000
0.000 5.140 0.000
2.570 2.570 4.364
Na Ga Se
1 2 2
Cartesian
0.000 0.000 0.000 Na
2.570 2.570 1.299 Ga
5.140 5.140 3.065 Ga
5.140 2.570 2.182 Se
2.570 5.140 2.182 Se
```

[5]
Computed, not measured: a relaxed structure of NaGa2Se at the PBE level of DFT.

Results
- V: 23.52 A^3/atom
- M_tot: 0.00 μB/f.u.
- E_form (uncorrected): -1.3 eV per formula unit
- Symmetry: No. 122

Geometry as POSCAR:
```
NaGa2Se
1.0
8.090 0.000 0.000
0.000 8.090 0.000
4.045 4.045 2.875
Na Ga Se
2 4 2
Cartesian
4.045 4.045 0.000 Na
4.045 8.090 1.437 Na
6.341 2.023 0.719 Ga
1.750 6.068 0.719 Ga
6.068 5.795 2.156 Ga
10.113 10.386 2.156 Ga
0.000 0.000 0.000 Se
8.090 4.045 1.437 Se
```

[6]
Computed, not measured: a relaxed structure of NaGaSe3 at the PBE level of DFT.

Results
- V: 29.66 A^3/atom
- M_tot: 2.50 μB/f.u.
- E_form (uncorrected): 2.4 eV per formula unit
- E above lowest polymorph: 652 meV per atom
- Symmetry: No. 221

Geometry as POSCAR:
```
NaGaSe3
1.0
5.293 0.000 0.000
0.000 5.293 0.000
0.000 0.000 5.293
Na Ga Se
1 1 3
Cartesian
0.000 0.000 0.000 Na
2.647 2.647 2.647 Ga
0.000 2.647 0.000 Se
0.000 0.000 2.647 Se
2.647 0.000 0.000 Se
```

[7]
Computed, not measured: a relaxed structure of NaGaSi2Se6 at the PBE level of DFT.

Results
- V: 27.67 A^3/atom
- M_tot: 0.00 μB/f.u.
- E_form (uncorrected): -4.9 eV per formula unit
- Symmetry: No. 15

Geometry as POSCAR:
```
NaGaSi2Se6
1.0
6.938 0.118 0.122
2.370 8.979 -0.073
2.370 -0.406 8.970
Na Ga Si Se
2 2 4 12
Cartesian
4.104 7.783 1.138 Na
7.573 0.908 7.881 Na
4.104 1.638 7.059 Ga
7.573 7.053 1.959 Ga
5.446 6.754 5.599 Si
2.762 3.287 2.001 Si
6.231 1.937 3.420 Si
8.916 5.404 7.018 Si
5.437 8.325 7.271 Se
2.771 1.674 0.368 Se
6.240 0.365 1.747 Se
8.906 7.017 8.650 Se
5.835 7.711 3.537 Se
2.374 5.383 1.120 Se
5.843 0.979 5.482 Se
9.304 3.307 7.898 Se
3.266 5.983 5.109 Se
4.942 3.747 2.789 Se
8.411 2.707 3.909 Se
6.735 4.943 6.229 Se
```

[8]
Computed, not measured: a relaxed structure of NaGa2SiSe6 at the PBE level of DFT.

Results
- V: 29.65 A^3/atom
- M_tot: 1.02 μB/f.u.
- E_form (uncorrected): -4.9 eV per formula unit
- Symmetry: No. 15

Geometry as POSCAR:
```
NaGa2SiSe6
1.0
-7.093 -2.313 -1.436
-2.044 -7.268 5.557
-6.001 5.259 4.922
Na Ga Si Se
2 4 2 12
Cartesian
-4.337 -6.200 5.115 Na
-10.800 1.877 3.928 Na
-7.998 -3.283 6.651 Ga
-2.966 -1.868 3.211 Ga
-7.139 -1.040 2.392 Ga
-12.171 -2.455 5.832 Ga
-7.083 2.492 4.674 Si
-8.054 -6.816 4.369 Si
-8.111 -3.020 9.086 Se
-2.953 -1.813 0.759 Se
-7.026 -1.303 -0.044 Se
-12.184 -2.510 8.284 Se
-7.101 -5.444 5.937 Se
-2.482 -4.075 4.147 Se
-8.035 1.120 3.106 Se
-12.654 -0.248 4.896 Se
-5.679 -2.300 6.377 Se
-5.436 -2.371 3.461 Se
-9.458 -2.023 2.666 Se
-9.701 -1.952 5.582 Se
```